Density functional theory data (PBE with a Hubbard U) for an optimized crystal structure of MnTlSiO4.

## Properties
Symmetry   P2_1/m (11)
ρ   5.318 g/cm3
DFT total energy   -6.8133 eV per atom
M_tot   4.0 μB/f.u.

Cell lengths 5.1710, 5.5071, 7.7093 Å; angles 90.00, 91.72, 90.00 degrees
Positions (direct):
Mn: 0.2077 0.2500 0.4663
Mn: 0.7923 0.7500 0.5337
Tl: 0.2173 0.7500 0.1394
Tl: 0.7827 0.2500 0.8606
Si: 0.3120 0.7500 0.6434
Si: 0.6880 0.2500 0.3566
O: 0.1123 0.5183 0.6566
O: 0.1123 0.9817 0.6566
O: 0.4098 0.2500 0.2465
O: 0.4389 0.7500 0.4455
O: 0.5611 0.2500 0.5545
O: 0.5902 0.7500 0.7535
O: 0.8877 0.0183 0.3434
O: 0.8877 0.4817 0.3434